Here is TiCr4Ga after structural relaxation from Alexandria. Energies are from PBE.

abc: 4.810 4.810 4.810
angles: 60.00 60.00 60.00
Element x y z (fractional)
Ti  0.000  0.000  0.000
Cr  0.376  0.376  0.376
Cr  0.376  0.376  0.872
Cr  0.376  0.872  0.376
Cr  0.872  0.376  0.376
Ga  0.750  0.750  0.750

## Properties
DOS at the Fermi energy	7.738	states/eV/cell
energy of formation from the pure elements	-4	meV/atom
space group	F-43m

Here is La2SmY6Ho after structural relaxation from Alexandria. Energies are from PBE.

abc: 8.776 8.776 9.981
angles: 95.71 95.71 117.42
Element x y z (fractional)
La  0.193  0.286  0.045
La  0.286  0.193  0.545
La  0.714  0.807  0.455
La  0.807  0.714  0.955
Sm  0.013  0.987  0.250
Sm  0.987  0.013  0.750
Y  0.020  0.578  0.188
Y  0.118  0.735  0.557
Y  0.265  0.882  0.943
Y  0.302  0.510  0.383
Y  0.422  0.980  0.312
Y  0.490  0.698  0.117
Y  0.510  0.302  0.883
Y  0.578  0.020  0.688
Y  0.698  0.490  0.617
Y  0.735  0.118  0.057
Y  0.882  0.265  0.443
Y  0.980  0.422  0.812
Ho  0.404  0.596  0.750
Ho  0.596  0.404  0.250

## Properties
DOS at the Fermi energy	30.226	states/eV/cell
energy of formation from the pure elements	114	meV/atom
space group	C2/c

Here is InHgF after structural relaxation from Alexandria. Energies are from PBE.

abc: 5.172 5.172 5.172
angles: 129.88 129.88 73.61
Element x y z (fractional)
In  0.000  0.000  0.000
Hg  0.407  0.407  0.000
F  0.741  0.741  0.000

## Properties
DOS at the Fermi energy	0.552	states/eV/cell
energy above the lowest structure with this stoichiometry	0.224	eV per atom
formation energy (no corrections)	-0.9128	eV per atom
space group	I4mm

For the records above, the corresponding VASP energy values read -8.24 -5.68 -2.55 eV/atom.